(1)
VASP calculation (PBE) on TbPrHoTl after structural relaxation.

Cell: 4.8522 4.9201 4.9654 Å, 90.00 90.00 90.00°
Element x y z (fractional)
Tb (0.0000, 0.0000, 0.0000)
Pr (0.5000, 0.5000, 0.0000)
Ho (0.0000, 0.5000, 0.5000)
Tl (0.5000, 0.0000, 0.5000)

Results
energy above the lowest structure with this stoichiometry = 0.000 eV per atom


(2)
VASP calculation (PBE) on Tb2PrHoTl2 after structural relaxation.

Cell: 5.1620 10.0991 6.8706 Å, 90.00 90.00 90.00°
Element x y z (fractional)
Tb (0.0000, 0.0451, 0.0000)
Tb (0.0000, 0.9549, 0.5000)
Tb (0.5000, 0.1816, 0.2850)
Tb (0.5000, 0.8184, 0.7850)
Pr (0.5000, 0.4566, 0.9065)
Pr (0.5000, 0.5434, 0.4065)
Ho (0.0000, 0.3078, 0.6285)
Ho (0.0000, 0.6922, 0.1285)
Tl (0.0000, 0.3628, 0.1713)
Tl (0.0000, 0.6372, 0.6713)
Tl (0.5000, 0.1337, 0.7459)
Tl (0.5000, 0.8663, 0.2459)


(3)
VASP calculation (PBE) on Tb3PrHoTm after structural relaxation.

Cell: 11.4643 11.4643 6.8015 Å, 97.91 97.91 27.31°
Element x y z (fractional)
Tb (0.0242, 0.0242, 0.2754)
Tb (0.2738, 0.2738, 0.1870)
Tb (0.3289, 0.3289, 0.7217)
Tb (0.6711, 0.6711, 0.2783)
Tb (0.7262, 0.7262, 0.8130)
Tb (0.9758, 0.9758, 0.7246)
Pr (0.1299, 0.1299, 0.9771)
Pr (0.8701, 0.8701, 0.0229)
Ho (0.1664, 0.1664, 0.5315)
Ho (0.8336, 0.8336, 0.4685)
Tm (0.4273, 0.4273, 0.3491)
Tm (0.5727, 0.5727, 0.6510)


(4)
VASP calculation (PBE) on Tb4Pr2Ho2Tm after structural relaxation.

Cell: 6.0459 6.7304 8.5638 Å, 79.12 70.46 63.93°
Element x y z (fractional)
Tb (0.0047, 0.1242, 0.2738)
Tb (0.3211, 0.5623, 0.3775)
Tb (0.6789, 0.4377, 0.6225)
Tb (0.9953, 0.8758, 0.7262)
Pr (0.0954, 0.3208, 0.8408)
Pr (0.9046, 0.6792, 0.1592)
Ho (0.4543, 0.7772, 0.9494)
Ho (0.5457, 0.2228, 0.0506)
Tm (0.5000, 0.0000, 0.5000)


(5)
VASP calculation (PBE) on Tb2Pr4HoTm after structural relaxation.

Cell: 5.1552 5.1812 10.0621 Å, 90.00 90.00 90.00°
Element x y z (fractional)
Tb (0.0000, 0.0000, 0.0000)
Tb (0.5000, 0.5000, 0.5000)
Pr (0.0000, 0.5000, 0.2491)
Pr (0.0000, 0.5000, 0.7509)
Pr (0.5000, 0.0000, 0.2495)
Pr (0.5000, 0.0000, 0.7505)
Ho (0.0000, 0.0000, 0.5000)
Tm (0.5000, 0.5000, 0.0000)


(6)
VASP calculation (PBE) on Tb3Pr6HoTm2 after structural relaxation.

Cell: 6.2979 6.2979 11.8644 Å, 95.06 95.06 120.00°
Element x y z (fractional)
Tb (0.0000, 0.0000, 0.0000)
Tb (0.3332, 0.6668, 0.0000)
Tb (0.6668, 0.3332, 0.0000)
Pr (0.0832, 0.4169, 0.2517)
Pr (0.2496, 0.2496, 0.7482)
Pr (0.4169, 0.0832, 0.2517)
Pr (0.5831, 0.9168, 0.7483)
Pr (0.7504, 0.7504, 0.2518)
Pr (0.9168, 0.5831, 0.7483)
Ho (0.5000, 0.5000, 0.5000)
Tm (0.1665, 0.8335, 0.5000)
Tm (0.8335, 0.1665, 0.5000)


(7)
VASP calculation (PBE) on Tb5PrHo2Tm after structural relaxation.

Cell: 10.3517 10.3517 10.6542 Å, 90.00 90.00 148.65°
Element x y z (fractional)
Tb (0.0174, 0.9826, 0.5000)
Tb (0.2824, 0.7176, 0.7789)
Tb (0.3002, 0.6998, 0.1807)
Tb (0.3946, 0.6054, 0.4984)
Tb (0.4790, 0.5210, 0.2133)
Tb (0.5210, 0.4790, 0.7133)
Tb (0.6054, 0.3946, 0.9984)
Tb (0.6998, 0.3002, 0.6807)
Tb (0.7176, 0.2824, 0.2789)
Tb (0.9826, 0.0174, 0.0000)
Pr (0.2023, 0.7977, 0.4844)
Pr (0.7977, 0.2023, 0.9844)
Ho (0.1083, 0.8917, 0.2122)
Ho (0.1143, 0.8857, 0.7931)
Ho (0.8857, 0.1143, 0.2931)
Ho (0.8917, 0.1083, 0.7122)
Tm (0.4130, 0.5870, 0.9313)
Tm (0.5870, 0.4130, 0.4313)


(8)
VASP calculation (PBE) on Tb2Pr2Ho2Tm after structural relaxation.

Cell: 11.7548 3.5222 11.8596 Å, 90.00 109.09 90.00°
Element x y z (fractional)
Tb (0.2272, 0.0000, 0.3652)
Tb (0.2728, 0.5000, 0.6348)
Tb (0.7272, 0.5000, 0.3652)
Tb (0.7728, 0.0000, 0.6348)
Pr (0.1719, 0.5000, 0.0862)
Pr (0.3281, 0.0000, 0.9138)
Pr (0.6719, 0.0000, 0.0862)
Pr (0.8281, 0.5000, 0.9138)
Ho (0.0495, 0.5000, 0.7677)
Ho (0.4505, 0.0000, 0.2323)
Ho (0.5495, 0.0000, 0.7677)
Ho (0.9505, 0.5000, 0.2323)
Tm (0.0000, 0.0000, 0.5000)
Tm (0.5000, 0.5000, 0.5000)


(9)
VASP calculation (PBE) on Tb3PrHo2Tm6 after structural relaxation.

Cell: 6.1133 6.1133 11.6700 Å, 95.00 95.00 119.96°
Element x y z (fractional)
Tb (0.0000, 0.0000, 0.0000)
Tb (0.3331, 0.6669, 0.0000)
Tb (0.6669, 0.3331, 0.0000)
Pr (0.5000, 0.5000, 0.5000)
Ho (0.1667, 0.8333, 0.5000)
Ho (0.8333, 0.1667, 0.5000)
Tm (0.0817, 0.4157, 0.2490)
Tm (0.2500, 0.2500, 0.7508)
Tm (0.4157, 0.0817, 0.2490)
Tm (0.5843, 0.9183, 0.7510)
Tm (0.7500, 0.7500, 0.2492)
Tm (0.9183, 0.5843, 0.7510)


(10)
VASP calculation (PBE) on TbPr6Ho3Tm2 after structural relaxation.

Cell: 6.2869 6.2869 11.8381 Å, 95.07 95.07 119.99°
Element x y z (fractional)
Tb (0.0000, 0.0000, 0.0000)
Pr (0.0836, 0.4173, 0.2497)
Pr (0.2501, 0.2501, 0.7504)
Pr (0.4173, 0.0836, 0.2497)
Pr (0.5827, 0.9164, 0.7503)
Pr (0.7499, 0.7499, 0.2496)
Pr (0.9164, 0.5827, 0.7503)
Ho (0.1667, 0.8333, 0.5000)
Ho (0.5000, 0.5000, 0.5000)
Ho (0.8333, 0.1667, 0.5000)
Tm (0.3334, 0.6666, 0.0000)
Tm (0.6666, 0.3334, 0.0000)


(11)
VASP calculation (PBE) on Tb2Pr6HoTm3 after structural relaxation.

Cell: 6.2879 6.2879 11.8345 Å, 95.07 95.07 119.99°
Element x y z (fractional)
Tb (0.1666, 0.8334, 0.0000)
Tb (0.8334, 0.1666, 0.0000)
Pr (0.0828, 0.4159, 0.7483)
Pr (0.2508, 0.2508, 0.2519)
Pr (0.4159, 0.0828, 0.7483)
Pr (0.5841, 0.9172, 0.2517)
Pr (0.7492, 0.7492, 0.7481)
Pr (0.9172, 0.5841, 0.2517)
Ho (0.5000, 0.5000, 0.0000)
Tm (0.0000, 0.0000, 0.5000)
Tm (0.3333, 0.6667, 0.5000)
Tm (0.6667, 0.3333, 0.5000)


(12)
VASP calculation (PBE) on Tb4PrHo2Tm after structural relaxation.

Cell: 9.4852 9.4852 6.7977 Å, 111.00 111.00 88.48°
Element x y z (fractional)
Tb (0.2472, 0.2507, 0.4979)
Tb (0.2484, 0.7511, 0.5014)
Tb (0.2489, 0.7516, 0.9986)
Tb (0.2507, 0.2472, 0.9979)
Tb (0.7493, 0.7528, 0.0021)
Tb (0.7511, 0.2484, 0.0014)
Tb (0.7516, 0.2489, 0.4986)
Tb (0.7528, 0.7493, 0.5021)
Pr (0.0000, 0.5000, 0.0000)
Pr (0.5000, 0.0000, 0.5000)
Ho (0.0000, 0.5000, 0.5000)
Ho (0.5000, 0.0000, 0.0000)
Ho (0.5000, 0.5000, 0.0000)
Ho (0.5000, 0.5000, 0.5000)
Tm (0.0000, 0.0000, 0.0000)
Tm (0.0000, 0.0000, 0.5000)


(13)
VASP calculation (PBE) on TbPrHo2Tm2 after structural relaxation.

Cell: 6.9297 15.9938 3.5227 Å, 90.00 90.00 90.00°
Element x y z (fractional)
Tb (0.0000, 0.0000, 0.0000)
Tb (0.5000, 0.5000, 0.5000)
Pr (0.0000, 0.5000, 0.5000)
Pr (0.5000, 0.0000, 0.0000)
Ho (0.2490, 0.1585, 0.5000)
Ho (0.2510, 0.6585, 0.0000)
Ho (0.7490, 0.3415, 0.0000)
Ho (0.7510, 0.8415, 0.5000)
Tm (0.2499, 0.3436, 0.0000)
Tm (0.2501, 0.8436, 0.5000)
Tm (0.7499, 0.1564, 0.5000)
Tm (0.7501, 0.6564, 0.0000)


(14)
VASP calculation (PBE) on Tb2PrHo5Tm after structural relaxation.

Cell: 9.6637 9.6637 9.6637 Å, 124.95 124.95 81.61°
Element x y z (fractional)
Tb (0.1126, 0.6126, 0.7251)
Tb (0.3874, 0.1126, 0.5000)
Tb (0.6126, 0.8874, 0.5000)
Tb (0.8874, 0.3874, 0.2749)
Pr (0.2500, 0.2500, 0.0000)
Pr (0.7500, 0.7500, 0.0000)
Ho (0.0000, 0.0000, 0.0000)
Ho (0.0735, 0.1622, 0.5000)
Ho (0.1622, 0.6622, 0.0887)
Ho (0.3378, 0.4265, 0.5000)
Ho (0.4265, 0.9265, 0.0887)
Ho (0.5000, 0.5000, 0.0000)
Ho (0.5735, 0.0735, 0.9113)
Ho (0.6622, 0.5735, 0.5000)
Ho (0.8378, 0.3378, 0.9113)
Ho (0.9265, 0.8378, 0.5000)
Tm (0.2500, 0.7500, 0.5000)
Tm (0.7500, 0.2500, 0.5000)


(15)
VASP calculation (PBE) on TbPrHoTm after structural relaxation.

Cell: 12.4144 5.8494 3.7602 Å, 90.00 107.57 90.00°
Element x y z (fractional)
Tb (0.0000, 0.0000, 0.0000)
Tb (0.5000, 0.5000, 0.0000)
Pr (0.2341, 0.5000, 0.2228)
Pr (0.7341, 0.0000, 0.2228)
Ho (0.2459, 0.0000, 0.7398)
Ho (0.7459, 0.5000, 0.7398)
Tm (0.4833, 0.0000, 0.4808)
Tm (0.9833, 0.5000, 0.4808)

Results
energy above the lowest structure with this stoichiometry = 0.003 eV per atom


(16)
VASP calculation (PBE) on TbPrHo2Tm4 after structural relaxation.

Cell: 9.4481 9.4481 6.7573 Å, 110.95 110.95 88.74°
Element x y z (fractional)
Tb (0.0000, 0.0000, 0.0000)
Tb (0.0000, 0.0000, 0.5000)
Pr (0.0000, 0.5000, 0.0000)
Pr (0.5000, 0.0000, 0.5000)
Ho (0.0000, 0.5000, 0.5000)
Ho (0.5000, 0.0000, 0.0000)
Ho (0.5000, 0.5000, 0.0000)
Ho (0.5000, 0.5000, 0.5000)
Tm (0.2495, 0.2524, 0.5019)
Tm (0.2505, 0.7485, 0.9981)
Tm (0.2524, 0.2495, 0.0019)
Tm (0.2515, 0.7495, 0.5019)
Tm (0.7485, 0.2505, 0.4981)
Tm (0.7476, 0.7505, 0.9981)
Tm (0.7495, 0.2515, 0.0019)
Tm (0.7505, 0.7476, 0.4981)


(17)
VASP calculation (PBE) on Tb4PrHoTm2 after structural relaxation.

Cell: 9.4813 9.4813 6.7866 Å, 110.96 110.96 88.50°
Element x y z (fractional)
Tb (0.2458, 0.2521, 0.4980)
Tb (0.2486, 0.7513, 0.5022)
Tb (0.2487, 0.7514, 0.9978)
Tb (0.2521, 0.2458, 0.9980)
Tb (0.7479, 0.7542, 0.0020)
Tb (0.7513, 0.2486, 0.0022)
Tb (0.7514, 0.2487, 0.4978)
Tb (0.7542, 0.7479, 0.5020)
Pr (0.0000, 0.5000, 0.0000)
Pr (0.5000, 0.0000, 0.5000)
Ho (0.5000, 0.5000, 0.0000)
Ho (0.5000, 0.5000, 0.5000)
Tm (0.0000, 0.0000, 0.0000)
Tm (0.0000, 0.0000, 0.5000)
Tm (0.0000, 0.5000, 0.5000)
Tm (0.5000, 0.0000, 0.0000)


(18)
VASP calculation (PBE) on TbPr2Ho3Tm6 after structural relaxation.

Cell: 6.1369 6.1369 11.6839 Å, 95.01 95.01 119.96°
Element x y z (fractional)
Tb (0.0000, 0.0000, 0.0000)
Pr (0.3333, 0.6667, 0.0000)
Pr (0.6667, 0.3333, 0.0000)
Ho (0.1665, 0.8335, 0.5000)
Ho (0.5000, 0.5000, 0.5000)
Ho (0.8335, 0.1665, 0.5000)
Tm (0.0848, 0.4175, 0.2535)
Tm (0.2478, 0.2478, 0.7463)
Tm (0.4175, 0.0848, 0.2535)
Tm (0.5825, 0.9152, 0.7465)
Tm (0.7522, 0.7522, 0.2537)
Tm (0.9152, 0.5825, 0.7465)


(19)
VASP calculation (PBE) on TbPrHoTm2 after structural relaxation.

Cell: 7.0896 7.0896 7.1809 Å, 90.00 90.00 107.73°
Element x y z (fractional)
Tb (0.0003, 0.9997, 0.2500)
Tb (0.9997, 0.0003, 0.7500)
Pr (0.2716, 0.7284, 0.7500)
Pr (0.7284, 0.2716, 0.2500)
Ho (0.2798, 0.7202, 0.2500)
Ho (0.7202, 0.2798, 0.7500)
Tm (0.3116, 0.3116, 0.0000)
Tm (0.3116, 0.3116, 0.5000)
Tm (0.6884, 0.6884, 0.0000)
Tm (0.6884, 0.6884, 0.5000)


(20)
VASP calculation (PBE) on Tb2Pr3HoTm6 after structural relaxation.

Cell: 6.1778 6.1778 11.7070 Å, 95.03 95.03 119.97°
Element x y z (fractional)
Tb (0.1666, 0.8334, 0.0000)
Tb (0.8334, 0.1666, 0.0000)
Pr (0.0000, 0.0000, 0.5000)
Pr (0.3333, 0.6667, 0.5000)
Pr (0.6667, 0.3333, 0.5000)
Ho (0.5000, 0.5000, 0.0000)
Tm (0.0845, 0.4178, 0.7541)
Tm (0.2490, 0.2490, 0.2459)
Tm (0.4178, 0.0845, 0.7541)
Tm (0.5822, 0.9155, 0.2459)
Tm (0.7510, 0.7510, 0.7541)
Tm (0.9155, 0.5822, 0.2459)


(21)
VASP calculation (PBE) on Tb4Pr2HoTm2 after structural relaxation.

Cell: 6.0128 6.6263 8.5999 Å, 79.80 70.39 65.28°
Element x y z (fractional)
Tb (0.1149, 0.1261, 0.2637)
Tb (0.2413, 0.5728, 0.3836)
Tb (0.7587, 0.4272, 0.6164)
Tb (0.8851, 0.8739, 0.7363)
Pr (0.2323, 0.3237, 0.8424)
Pr (0.7677, 0.6763, 0.1576)
Ho (0.5000, 0.0000, 0.5000)
Tm (0.3226, 0.7702, 0.9454)
Tm (0.6774, 0.2298, 0.0546)


no.,energy of formation (eV/f.u.),total energy (eV/f.u.),density of states at the Fermi level (states/eV/f.u.)
1,-0.7,-17.09,6.00
2,-1.6,-24.96,6.19
3,1.2,-26.50,10.01
4,0.8,-40.91,14.29
5,0.1,-37.29,10.37
6,0.2,-55.94,12.93
7,1.4,-40.18,13.95
8,0.6,-31.85,11.27
9,0.3,-54.39,15.52
10,0.2,-55.83,12.54
11,0.2,-55.76,12.54
12,3.4,-33.49,18.14
13,1.0,-26.48,8.94
14,2.6,-38.80,11.37
15,0.5,-17.98,7.92
16,3.5,-32.91,17.48
17,3.4,-33.37,17.87
18,0.3,-54.46,15.84
19,1.9,-21.05,6.94
20,0.3,-54.72,14.85
21,0.8,-40.85,13.28